# 1
4
Lattice="3.8740 0.0000 0.0000 0.0000 4.6326 0.4011 0.0000 1.1023 4.8812" Properties=species:S:1:pos:R:3 comment="PBE MnSbAs2, relaxed" raw_formation_energy_ev_per_atom=0.09 dos_at_fermi_per_ev_fu=1.83 spacegroup="P2/m, No. 10" crystal_system=monoclinic pbc="T T T"
As 0.0000 4.6868 0.7005
As 0.0000 2.8133 2.3418
Mn 1.9370 1.4337 1.3206
Sb 1.9370 4.3012 3.9618



# 2
4
Lattice="4.8261 0.0000 0.0000 2.4130 4.1795 0.0000 2.4130 1.3932 3.9405" Properties=species:S:1:pos:R:3 comment="PBE MnSbAs2, relaxed" raw_formation_energy_ev_per_atom=0.45 dos_at_fermi_per_ev_fu=3.75 spacegroup="F-43m, No. 216" crystal_system=cubic pbc="T T T"
As 0.0000 0.0000 0.0000
As 2.4130 1.3932 0.9851
Sb 7.2391 4.1795 2.9553
Mn 4.8261 2.7863 1.9702



# 3
3
Lattice="-0.8723 3.9437 5.1622 -0.4878 1.2114 6.4237 2.8294 0.7599 0.7885" Properties=species:S:1:pos:R:3 comment="PBE MnSbAs, relaxed" raw_formation_energy_ev_per_atom=0.12 dos_at_fermi_per_ev_fu=3.22 spacegroup="I4mm, No. 107" crystal_system=tetragonal pbc="T T T"
As -1.1545 4.9395 11.0561
Sb -0.1159 3.8499 8.3793
Mn 1.3797 2.2808 4.5248



# 4
4
Lattice="3.7112 0.0000 0.0000 0.0000 4.0609 0.0012 0.0000 2.1574 5.5281" Properties=species:S:1:pos:R:3 comment="PBE MnSbAs2, relaxed" raw_formation_energy_ev_per_atom=0.16 dos_at_fermi_per_ev_fu=2.04 spacegroup="Pm, No. 6" crystal_system=monoclinic pbc="T T T"
As 0.0000 4.2214 0.7283
Mn 0.0000 2.6367 2.8316
As 1.8556 1.9417 0.9733
Sb 1.8556 4.5886 3.7619



# 5
4
Lattice="8.8507 -0.0808 -0.0476 8.2839 3.1174 -0.0476 8.2839 1.4681 2.7505" Properties=species:S:1:pos:R:3 comment="PBE MnSbAs2, relaxed" raw_formation_energy_ev_per_atom=0.24 dos_at_fermi_per_ev_fu=1.86 spacegroup="R3m, No. 160" crystal_system=trigonal pbc="T T T"
Mn 12.8521 2.2776 1.3425
Sb 19.3756 3.4337 2.0240
As 0.0250 0.0044 0.0026
As 5.8749 1.0411 0.6137



# 6
4
Lattice="4.8479 0.0000 0.0000 0.0000 4.8479 0.0000 0.0000 0.0000 3.4430" Properties=species:S:1:pos:R:3 comment="PBE MnSbAs2, relaxed" raw_formation_energy_ev_per_atom=0.36 dos_at_fermi_per_ev_fu=2.30 spacegroup="P4/mmm, No. 123" crystal_system=tetragonal pbc="T T T"
Mn 2.4240 0.0000 1.7215
Sb 0.0000 2.4240 1.7215
As 2.4240 2.4240 0.0000
As 0.0000 0.0000 0.0000



# 7
3
Lattice="-0.2762 -3.3819 -0.2133 3.0661 1.4404 0.2887 -0.3945 -0.3386 5.8792" Properties=species:S:1:pos:R:3 comment="PBE MnSbAs, relaxed" raw_formation_energy_ev_per_atom=0.04 dos_at_fermi_per_ev_fu=1.48 spacegroup="P3m1, No. 156" crystal_system=trigonal pbc="T T T"
Sb 1.7042 -0.3797 3.8145
As -0.0255 -0.0218 0.3793
Mn 0.7167 -1.8785 1.7607



# 8
5
Lattice="-2.8070 -2.1049 2.7754 0.2929 -3.6944 -2.5057 4.1669 -1.6693 2.9484" Properties=species:S:1:pos:R:3 comment="PBE MnSbAs2Se, relaxed" raw_formation_energy_ev_per_atom=0.32 dos_at_fermi_per_ev_fu=2.95 spacegroup="P4/mmm, No. 123" polymorph_energy_mev_per_atom=0 crystal_system=tetragonal pbc="T T T"
Se 2.0834 -0.8347 1.4742
Sb 0.8264 -3.7343 1.6090
As -1.4035 -1.0525 1.3877
Mn 0.0000 0.0000 0.0000
As 0.1465 -1.8472 -1.2528